1.
First-principles (PBE) data for a geometry-optimized GdF3 structure, as listed in OQMD.

Calculated values
Symmetry   No. 176
E_tot   -53.41 eV per cell

Cell: 5.743 5.743 3.587 Å, 90.00 90.00 120.00°
Element x y z (fractional)
F  0.087  0.392  0.750
F  0.695  0.087  0.250
F  0.305  0.913  0.750
F  0.392  0.305  0.250
F  0.608  0.695  0.750
F  0.913  0.608  0.250
Gd  0.667  0.333  0.750
Gd  0.333  0.667  0.250

2.
First-principles (PBE) data for a geometry-optimized ErSeF structure, as listed in OQMD.

Calculated values
Symmetry   No. 166
E_tot   -36.88 eV per cell

Cell: 9.038 9.038 9.038 Å, 25.70 25.70 25.70°
Element x y z (fractional)
Er  0.500  0.500  0.500
Er  0.000  0.000  0.000
F  0.832  0.832  0.832
F  0.168  0.168  0.168
Se  0.393  0.393  0.393
Se  0.607  0.607  0.607

3.
First-principles (PBE) data for a geometry-optimized Tm3Al3Cu2Ge structure, as listed in OQMD.

Calculated values
Symmetry   No. 189
E_tot   -40.54 eV per cell

Cell: 7.197 7.197 3.862 Å, 90.00 90.00 120.00°
Element x y z (fractional)
Tm  0.400  0.400  0.500
Tm  0.600  0.000  0.500
Tm  0.000  0.600  0.500
Ge  0.000  0.000  0.500
Cu  0.667  0.333  0.000
Cu  0.333  0.667  0.000
Al  0.263  0.000  0.000
Al  0.000  0.263  0.000
Al  0.737  0.737  0.000

4.
First-principles (PBE) data for a geometry-optimized TbGd2Al3NiGe2 structure, as listed in OQMD.

Calculated values
Symmetry   No. 38
E_tot   -46.67 eV per cell

Cell: 4.207 6.991 6.991 Å, 119.99 90.00 90.00°
Element x y z (fractional)
Ge  0.500  0.334  0.666
Ge  0.500  0.666  0.334
Al  0.500  0.000  0.228
Al  0.500  0.228  0.000
Al  0.500  0.772  0.772
Gd  0.000  0.000  0.597
Gd  0.000  0.597  0.000
Tb  0.000  0.403  0.403
Ni  0.000  0.001  0.001

5.
First-principles (PBE) data for a geometry-optimized Nb2AgSn structure, as listed in OQMD.

Calculated values
Symmetry   No. 216
E_tot   -25.74 eV per cell

Cell: 4.762 4.762 4.762 Å, 60.00 60.00 60.00°
Element x y z (fractional)
Ag  0.250  0.250  0.250
Nb  0.750  0.750  0.750
Nb  0.000  0.000  0.000
Sn  0.500  0.500  0.500

6.
First-principles (PBE) data for a geometry-optimized Rb2AgPbCl6 structure, as listed in OQMD.

Calculated values
Symmetry   No. 87
E_tot   -32.20 eV per cell

Cell: 7.558 7.558 7.558 Å, 121.22 121.22 87.89°
Element x y z (fractional)
Cl  0.747  0.747  0.000
Cl  0.686  0.199  0.885
Cl  0.253  0.253  0.000
Cl  0.314  0.801  0.115
Cl  0.801  0.686  0.487
Cl  0.199  0.314  0.513
Pb  0.000  0.000  0.000
Rb  0.750  0.250  0.500
Rb  0.250  0.750  0.500
Ag  0.500  0.500  0.000

7.
First-principles (PBE) data for a geometry-optimized RbLaTbTe3 structure, as listed in OQMD.

Calculated values
Symmetry   No. 63
E_tot   -55.28 eV per cell

Cell: 8.718 8.718 12.332 Å, 90.00 90.00 147.11°
Element x y z (fractional)
La  0.000  0.000  0.000
La  0.000  0.000  0.500
Te  0.373  0.627  0.447
Te  0.627  0.373  0.553
Te  0.373  0.627  0.053
Te  0.929  0.071  0.750
Te  0.627  0.373  0.947
Te  0.071  0.929  0.250
Rb  0.746  0.254  0.250
Rb  0.254  0.746  0.750
Tb  0.529  0.471  0.750
Tb  0.471  0.529  0.250

8.
First-principles (PBE) data for a geometry-optimized HoErSi2W2C structure, as listed in OQMD.

Calculated values
Symmetry   No. 8
E_tot   -58.94 eV per cell

Cell: 5.862 5.862 7.082 Å, 123.09 123.09 37.98°
Element x y z (fractional)
Ho  0.574  0.574  0.295
Si  0.869  0.869  0.341
Si  0.131  0.131  0.659
Er  0.426  0.426  0.705
W  0.793  0.793  0.915
W  0.207  0.207  0.085
C  0.000  0.000  0.000

no.,density (Mg/m³)
1,6.9
2,7.2
3,7.5
4,7.1
5,9.0
6,3.9
7,5.0
8,10.4